1.
# Ti2V2Os PBE-GGA relaxed
data_Ti2V2Os
_symmetry_space_group_name_H-M 'P 4/m b m'
_symmetry_Int_Tables_number 127
_symmetry_space_group_name_Hall '-P 4 2ab'
_cell_length_a 6.230
_cell_length_b 6.230
_cell_length_c 4.085
_cell_angle_alpha 90.00
_cell_angle_beta 90.00
_cell_angle_gamma 90.00
loop_
_atom_site_label
_atom_site_type_symbol
_atom_site_fract_x
_atom_site_fract_y
_atom_site_fract_z
Ti1 Ti 0.166 0.334 0.000
V1 V 0.143 0.643 0.500
Os1 Os 0.000 0.000 0.500
# Relative energy among the computed polymorphs, eV per atom: 0.2781
# Energy of formation from the pure elements, eV per atom: 0.0450
# Crystal system: tetragonal
# Spin magnetization, Bohr magnetons per cell: 0.00


2.
# Ti2V2Os PBE-GGA relaxed
data_Ti2V2Os
_symmetry_space_group_name_H-M 'P 4/m b m'
_symmetry_Int_Tables_number 127
_symmetry_space_group_name_Hall '-P 4 2ab'
_cell_length_a 6.748
_cell_length_b 6.748
_cell_length_c 3.314
_cell_angle_alpha 90.00
_cell_angle_beta 90.00
_cell_angle_gamma 90.00
loop_
_atom_site_label
_atom_site_type_symbol
_atom_site_fract_x
_atom_site_fract_y
_atom_site_fract_z
Ti1 Ti 0.143 0.357 0.000
V1 V 0.161 0.661 0.500
Os1 Os 0.000 0.000 0.000
# Relative energy among the computed polymorphs, eV per atom: 0.4941
# Energy of formation from the pure elements, eV per atom: 0.2611
# Crystal system: tetragonal
# Spin magnetization, Bohr magnetons per cell: 0.00


3.
# TiVOs2 PBE-GGA relaxed
data_TiVOs2
_symmetry_space_group_name_H-M 'I m m m'
_symmetry_Int_Tables_number 71
_symmetry_space_group_name_Hall '-I 2 2'
_cell_length_a 2.732
_cell_length_b 4.478
_cell_length_c 10.293
_cell_angle_alpha 90.00
_cell_angle_beta 90.00
_cell_angle_gamma 90.00
loop_
_atom_site_label
_atom_site_type_symbol
_atom_site_fract_x
_atom_site_fract_y
_atom_site_fract_z
Ti1 Ti 0.000 0.000 0.000
V1 V 0.000 0.000 0.500
Os1 Os 0.000 0.000 0.278
# Energy of formation from the pure elements, eV per atom: 0.3907
# Crystal system: orthorhombic
# Spin magnetization, Bohr magnetons per cell: 0.00


4.
# TiVOs2 PBE-GGA relaxed
data_TiVOs2
_symmetry_space_group_name_H-M 'I -4 2 d'
_symmetry_Int_Tables_number 122
_symmetry_space_group_name_Hall 'I -4 2bw'
_cell_length_a 6.900
_cell_length_b 6.900
_cell_length_c 5.273
_cell_angle_alpha 90.00
_cell_angle_beta 90.00
_cell_angle_gamma 90.00
loop_
_atom_site_label
_atom_site_type_symbol
_atom_site_fract_x
_atom_site_fract_y
_atom_site_fract_z
Ti1 Ti 0.000 0.000 0.000
V1 V 0.000 0.000 0.500
Os1 Os 0.232 0.750 0.625
# Energy of formation from the pure elements, eV per atom: 0.3593
# Crystal system: tetragonal
# Spin magnetization, Bohr magnetons per cell: 0.00


5.
# TiVOs2 PBE-GGA relaxed
data_TiVOs2
_symmetry_space_group_name_H-M 'P 4/m m m'
_symmetry_Int_Tables_number 123
_symmetry_space_group_name_Hall '-P 4 2'
_cell_length_a 3.049
_cell_length_b 3.049
_cell_length_c 6.139
_cell_angle_alpha 90.00
_cell_angle_beta 90.00
_cell_angle_gamma 90.00
loop_
_atom_site_label
_atom_site_type_symbol
_atom_site_fract_x
_atom_site_fract_y
_atom_site_fract_z
Ti1 Ti 0.000 0.000 0.000
V1 V 0.000 0.000 0.500
Os1 Os 0.500 0.500 0.254
# Energy of formation from the pure elements, eV per atom: -0.4613
# Crystal system: tetragonal
# Spin magnetization, Bohr magnetons per cell: 0.00


6.
# TiV2Os2 PBE-GGA relaxed
data_TiV2Os2
_symmetry_space_group_name_H-M 'C m m m'
_symmetry_Int_Tables_number 65
_symmetry_space_group_name_Hall '-C 2 2'
_cell_length_a 2.976
_cell_length_b 16.588
_cell_length_c 3.017
_cell_angle_alpha 90.00
_cell_angle_beta 90.00
_cell_angle_gamma 90.00
loop_
_atom_site_label
_atom_site_type_symbol
_atom_site_fract_x
_atom_site_fract_y
_atom_site_fract_z
Ti1 Ti 0.000 0.000 0.000
V1 V 0.000 0.188 0.000
Os1 Os 0.000 0.403 0.500
# Relative energy among the computed polymorphs, eV per atom: 0.0000
# Energy of formation from the pure elements, eV per atom: -0.1296
# Crystal system: orthorhombic
# Spin magnetization, Bohr magnetons per cell: 0.00


7.
# Ti3VOs PBE-GGA relaxed
data_Ti3VOs
_symmetry_space_group_name_H-M 'P m -3 m'
_symmetry_Int_Tables_number 221
_symmetry_space_group_name_Hall '-P 4 2 3'
_cell_length_a 4.728
_cell_length_b 4.728
_cell_length_c 4.728
_cell_angle_alpha 90.00
_cell_angle_beta 90.00
_cell_angle_gamma 90.00
loop_
_atom_site_label
_atom_site_type_symbol
_atom_site_fract_x
_atom_site_fract_y
_atom_site_fract_z
Ti1 Ti 0.000 0.000 0.500
V1 V 0.500 0.500 0.500
Os1 Os 0.000 0.000 0.000
# Relative energy among the computed polymorphs, eV per atom: 0.0000
# Energy of formation from the pure elements, eV per atom: 0.7047
# Crystal system: cubic
# Spin magnetization, Bohr magnetons per cell: 2.31


8.
# TiVZnOs2 PBE-GGA relaxed
data_TiVZnOs2
_symmetry_space_group_name_H-M 'P 4/m m m'
_symmetry_Int_Tables_number 123
_symmetry_space_group_name_Hall '-P 4 2'
_cell_length_a 4.453
_cell_length_b 4.453
_cell_length_c 4.536
_cell_angle_alpha 90.00
_cell_angle_beta 90.00
_cell_angle_gamma 90.00
loop_
_atom_site_label
_atom_site_type_symbol
_atom_site_fract_x
_atom_site_fract_y
_atom_site_fract_z
Ti1 Ti 0.000 0.000 0.000
V1 V 0.500 0.500 0.500
Zn1 Zn 0.500 0.500 0.000
Os1 Os 0.000 0.500 0.500
# Energy of formation from the pure elements, eV per atom: 1.1254
# Crystal system: tetragonal
# Spin magnetization, Bohr magnetons per cell: 0.00


9.
# ZrTi2VOs PBE-GGA relaxed
data_ZrTi2VOs
_symmetry_space_group_name_H-M 'P 4/m m m'
_symmetry_Int_Tables_number 123
_symmetry_space_group_name_Hall '-P 4 2'
_cell_length_a 4.704
_cell_length_b 4.704
_cell_length_c 4.645
_cell_angle_alpha 90.00
_cell_angle_beta 90.00
_cell_angle_gamma 90.00
loop_
_atom_site_label
_atom_site_type_symbol
_atom_site_fract_x
_atom_site_fract_y
_atom_site_fract_z
Zr1 Zr 0.000 0.000 0.000
Ti1 Ti 0.000 0.500 0.500
V1 V 0.500 0.500 0.000
Os1 Os 0.500 0.500 0.500
# Energy of formation from the pure elements, eV per atom: 0.5243
# Crystal system: tetragonal
# Spin magnetization, Bohr magnetons per cell: 0.00


10.
# Ti3Os2W PBE-GGA relaxed
data_Ti3Os2W
_symmetry_space_group_name_H-M 'P 4/m m m'
_symmetry_Int_Tables_number 123
_symmetry_space_group_name_Hall '-P 4 2'
_cell_length_a 3.106
_cell_length_b 3.106
_cell_length_c 9.435
_cell_angle_alpha 90.00
_cell_angle_beta 90.00
_cell_angle_gamma 90.00
loop_
_atom_site_label
_atom_site_type_symbol
_atom_site_fract_x
_atom_site_fract_y
_atom_site_fract_z
Ti1 Ti 0.000 0.000 0.000
Ti2 Ti 0.000 0.000 0.327
Os1 Os 0.500 0.500 0.163
W1 W 0.500 0.500 0.500
# Energy of formation from the pure elements, eV per atom: -0.4703
# Crystal system: tetragonal
# Spin magnetization, Bohr magnetons per cell: 0.00


11.
# Ti5Os4W PBE-GGA relaxed
data_Ti5Os4W
_symmetry_space_group_name_H-M 'P 4/m m m'
_symmetry_Int_Tables_number 123
_symmetry_space_group_name_Hall '-P 4 2'
_cell_length_a 3.097
_cell_length_b 3.097
_cell_length_c 15.657
_cell_angle_alpha 90.00
_cell_angle_beta 90.00
_cell_angle_gamma 90.00
loop_
_atom_site_label
_atom_site_type_symbol
_atom_site_fract_x
_atom_site_fract_y
_atom_site_fract_z
Ti1 Ti 0.000 0.000 0.000
Ti2 Ti 0.000 0.000 0.198
Ti3 Ti 0.000 0.000 0.396
Os1 Os 0.500 0.500 0.099
Os2 Os 0.500 0.500 0.296
W1 W 0.500 0.500 0.500
# Energy of formation from the pure elements, eV per atom: -0.5688
# Crystal system: tetragonal
# Spin magnetization, Bohr magnetons per cell: 0.00


12.
# Ti2OsW PBE-GGA relaxed
data_Ti2OsW
_symmetry_space_group_name_H-M 'P 4/m m m'
_symmetry_Int_Tables_number 123
_symmetry_space_group_name_Hall '-P 4 2'
_cell_length_a 3.109
_cell_length_b 3.109
_cell_length_c 6.364
_cell_angle_alpha 90.00
_cell_angle_beta 90.00
_cell_angle_gamma 90.00
loop_
_atom_site_label
_atom_site_type_symbol
_atom_site_fract_x
_atom_site_fract_y
_atom_site_fract_z
Ti1 Ti 0.000 0.000 0.242
Os1 Os 0.500 0.500 0.000
W1 W 0.500 0.500 0.500
# Energy of formation from the pure elements, eV per atom: -0.3399
# Crystal system: tetragonal
# Spin magnetization, Bohr magnetons per cell: 0.00